This record from Alexandria via LeMat-Bulk describes a relaxed structure of Ac5Ag3. The functional is PBE.

Cell and atoms, written as CIF:
```
data_Ac5Ag3
_chemical_formula_sum 'Ac5 Ag3'
_symmetry_space_group_name_H-M 'P 1'
_symmetry_Int_Tables_number 1
_cell_length_a 3.9534
_cell_length_b 3.9534
_cell_length_c 17.8124
_cell_angle_alpha 90.00
_cell_angle_beta 90.00
_cell_angle_gamma 90.00
loop_
_symmetry_equiv_pos_as_xyz
'x,y,z'
loop_
_atom_site_label
_atom_site_fract_x
_atom_site_fract_y
_atom_site_fract_z
Ac1 0.0000 0.0000 0.0000
Ac2 0.0000 0.0000 0.2220
Ac3 0.0000 0.0000 0.7780
Ac4 0.5000 0.5000 0.3877
Ac5 0.5000 0.5000 0.6123
Ag1 0.0000 0.0000 0.5000
Ag2 0.5000 0.5000 0.1113
Ag3 0.5000 0.5000 0.8887
```

Calculated values
Formation energy ... -183.6 meV/atom
D(E_F) ... 0.811 states/eV per atom